Entry 1:
Cu2NiSbS4: optimized geometry, PBE-GGA.

abc: 5.422 5.422 6.547
angles: 114.45 114.45 90.07
Element x y z (fractional)
Cu (0.750, 0.250, 0.500)
Cu (0.250, 0.750, 0.500)
Ni (0.500, 0.500, 0.000)
Sb (0.000, 0.000, 0.001)
S (0.591, 0.591, 0.738)
S (0.409, 0.853, 0.262)
S (0.853, 0.409, 0.262)
S (0.146, 0.146, 0.738)

Its calculated volume is 19.5 Å³ per atom. As for the density of states at the Fermi level: 4.89 states/eV/f.u. The calculation puts the energy at -36.37 eV per cell.

***

Entry 2:
CuNiSbS3: optimized geometry, PBE-GGA.

abc: 4.918 7.506 12.351
angles: 90.00 90.00 90.00
Element x y z (fractional)
Cu (0.519, 0.619, 0.938)
Cu (0.019, 0.881, 0.062)
Cu (0.481, 0.119, 0.562)
Cu (0.981, 0.381, 0.438)
Ni (0.991, 0.869, 0.748)
Ni (0.491, 0.631, 0.252)
Ni (0.009, 0.369, 0.752)
Ni (0.509, 0.131, 0.248)
Sb (0.556, 0.627, 0.634)
Sb (0.056, 0.873, 0.366)
Sb (0.444, 0.127, 0.866)
Sb (0.944, 0.373, 0.134)
S (0.774, 0.869, 0.906)
S (0.274, 0.631, 0.094)
S (0.226, 0.369, 0.594)
S (0.726, 0.131, 0.406)
S (0.218, 0.622, 0.795)
S (0.718, 0.878, 0.205)
S (0.782, 0.122, 0.705)
S (0.282, 0.378, 0.295)
S (0.218, 0.873, 0.591)
S (0.718, 0.627, 0.409)
S (0.782, 0.373, 0.909)
S (0.282, 0.127, 0.091)

Its calculated volume is 19.0 Å³ per atom. As for the density of states at the Fermi level: 0.06 states/eV/f.u. The calculation puts the energy at -112.84 eV per cell.

***

Entry 3:
Sc2CuNiS: optimized geometry, PBE-GGA.

abc: 4.885 4.211 4.885
angles: 90.00 90.00 90.00
Element x y z (fractional)
Sc (0.000, 0.000, 0.500)
Sc (0.500, 0.000, 0.000)
Ni (0.000, 0.500, 0.000)
S (0.500, 0.500, 0.500)
Cu (0.000, 0.000, 0.000)

Its calculated volume is 20.1 Å³ per atom. As for the density of states at the Fermi level: 4.72 states/eV/f.u. The calculation puts the energy at -26.35 eV per cell.

***

Entry 4:
CuNi2SeS2: optimized geometry, PBE-GGA.

abc: 6.264 6.223 6.222
angles: 120.01 90.00 90.00
Element x y z (fractional)
Cu (0.307, 0.808, 0.000)
Cu (0.807, 0.192, 0.000)
Ni (0.819, 0.835, 0.356)
Ni (0.819, 0.479, 0.644)
Ni (0.319, 0.521, 0.356)
Ni (0.319, 0.165, 0.644)
Se (0.691, 0.821, 0.000)
Se (0.191, 0.179, 0.000)
S (0.169, 0.833, 0.348)
S (0.169, 0.484, 0.652)
S (0.669, 0.167, 0.652)
S (0.669, 0.516, 0.348)

Its calculated volume is 17.5 Å³ per atom. As for the density of states at the Fermi level: 6.24 states/eV/f.u. The calculation puts the energy at -57.66 eV per cell.

***

Please write out number 2 again, unchanged.
CuNiSbS3: optimized geometry, PBE-GGA.

abc: 4.918 7.506 12.351
angles: 90.00 90.00 90.00
Element x y z (fractional)
Cu (0.519, 0.619, 0.938)
Cu (0.019, 0.881, 0.062)
Cu (0.481, 0.119, 0.562)
Cu (0.981, 0.381, 0.438)
Ni (0.991, 0.869, 0.748)
Ni (0.491, 0.631, 0.252)
Ni (0.009, 0.369, 0.752)
Ni (0.509, 0.131, 0.248)
Sb (0.556, 0.627, 0.634)
Sb (0.056, 0.873, 0.366)
Sb (0.444, 0.127, 0.866)
Sb (0.944, 0.373, 0.134)
S (0.774, 0.869, 0.906)
S (0.274, 0.631, 0.094)
S (0.226, 0.369, 0.594)
S (0.726, 0.131, 0.406)
S (0.218, 0.622, 0.795)
S (0.718, 0.878, 0.205)
S (0.782, 0.122, 0.705)
S (0.282, 0.378, 0.295)
S (0.218, 0.873, 0.591)
S (0.718, 0.627, 0.409)
S (0.782, 0.373, 0.909)
S (0.282, 0.127, 0.091)

Its calculated volume is 19.0 Å³ per atom. As for the density of states at the Fermi level: 0.06 states/eV/f.u. The calculation puts the energy at -112.84 eV per cell.